An optimized crystal structure of CsLiPb. Source: the Alexandria database, functional PBE.

```
CsLiPb
1.0
5.944 0.000 0.001
0.000 5.272 0.000
-1.653 0.000 6.967
Cs Pb Li
2 2 2
Cartesian
-0.082 1.318 6.868
4.372 3.954 0.099
2.942 1.318 4.046
1.348 3.954 2.921
-0.046 1.318 3.401
4.336 3.954 3.567
```

Output
VASP energy in eV per atom: -2.311
Polymorph energy (0 for the lowest one) in eV/atom: 0.040
Formation energy from the elements in meV per atom: -152
Symmetry: P2_1/m (11)

An optimized crystal structure of Cs2LiPb2. Source: the Alexandria database, functional PBE.

```
Cs2LiPb2
1.0
11.521 0.000 0.000
0.000 11.521 0.000
0.000 0.000 3.673
Pb Cs Li
4 4 2
Cartesian
1.069 6.830 1.836
6.830 10.452 1.836
10.452 4.692 1.836
4.692 1.069 1.836
3.443 9.203 0.000
9.203 8.078 0.000
8.078 2.318 0.000
2.318 3.443 0.000
0.000 0.000 0.000
5.761 5.761 0.000
```

Output
VASP energy in eV per atom: -2.065
Formation energy from the elements in meV per atom: 142
Symmetry: P4/mbm (127)

An optimized crystal structure of CsLiPb. Source: the Alexandria database, functional PBE.

```
CsLiPb
1.0
-8.400 -1.413 3.434
1.857 -4.775 2.577
3.058 5.239 7.505
Cs Pb Li
4 4 4
Cartesian
-4.977 2.320 7.885
-0.365 1.506 3.054
-5.577 -2.687 5.421
2.092 1.739 8.095
-4.226 0.527 4.020
-1.116 3.300 6.919
-1.769 0.759 9.061
-1.717 -1.707 4.455
-2.189 0.673 6.139
-1.297 -1.621 7.377
-2.789 -4.334 3.675
-3.754 -1.854 2.336
```

Output
VASP energy in eV per atom: -2.330
Polymorph energy (0 for the lowest one) in eV/atom: 0.020
Formation energy from the elements in meV per atom: -172
Symmetry: C2/m (12)

An optimized crystal structure of CsLi2Pb2. Source: the Alexandria database, functional PBE.

```
CsLi2Pb2
1.0
9.412 0.000 0.000
0.000 9.412 0.000
0.000 0.000 3.434
Pb Cs Li
4 2 4
Cartesian
1.223 5.929 1.717
5.929 8.189 1.717
8.189 3.483 1.717
3.483 1.223 1.717
0.000 0.000 0.000
4.706 4.706 0.000
3.365 8.071 0.000
8.071 6.047 0.000
6.047 1.341 0.000
1.341 3.365 0.000
```

Output
VASP energy in eV per atom: -2.550
Polymorph energy (0 for the lowest one) in eV/atom: 0.000
Formation energy from the elements in meV per atom: -130
Symmetry: P4/mbm (127)

An optimized crystal structure of Cs2LiPb. Source: the Alexandria database, functional PBE.

```
Cs2LiPb
1.0
6.673 0.000 0.000
3.336 5.779 0.000
3.336 1.926 5.448
Pb Cs Li
1 2 1
Cartesian
6.673 3.852 2.724
3.336 1.926 1.362
10.009 5.779 4.086
0.000 0.000 0.000
```

Output
VASP energy in eV per atom: -1.651
Polymorph energy (0 for the lowest one) in eV/atom: 0.161
Formation energy from the elements in meV per atom: 181
Symmetry: Fm-3m (225)

An optimized crystal structure of CsLi2Pb4. Source: the Alexandria database, functional PBE.

```
CsLi2Pb4
1.0
4.673 0.000 0.000
0.000 9.764 0.000
0.000 0.000 9.764
Cs Li Pb
2 4 8
Cartesian
2.336 0.000 0.000
0.000 4.882 4.882
0.000 2.151 7.613
0.000 7.613 2.151
2.336 7.032 7.032
2.336 2.731 2.731
0.000 0.698 3.308
0.000 9.065 6.456
2.336 1.574 5.580
2.336 8.190 4.184
2.336 4.184 8.190
2.336 5.580 1.574
0.000 3.308 0.698
0.000 6.456 9.065
```

Output
VASP energy in eV per atom: -2.925
Formation energy from the elements in meV per atom: -137
Symmetry: P4_2/mnm (136)

An optimized crystal structure of CsLiPb. Source: the Alexandria database, functional PBE.

```
CsLiPb
1.0
5.602 -0.716 0.196
0.472 5.628 0.196
1.813 1.466 7.014
Pb Li Cs
2 2 2
Cartesian
5.056 4.089 2.871
2.809 2.272 1.809
5.559 1.166 2.331
2.303 5.192 2.331
4.620 1.107 5.745
2.050 4.286 5.745
```

Output
VASP energy in eV per atom: -2.284
Polymorph energy (0 for the lowest one) in eV/atom: 0.067
Formation energy from the elements in meV per atom: -125
Symmetry: Cm (8)

An optimized crystal structure of CsLiPb. Source: the Alexandria database, functional PBE.

```
CsLiPb
1.0
5.581 0.000 -0.001
0.000 4.910 0.000
-1.145 0.000 8.415
Cs Li Pb
2 2 2
Cartesian
3.062 1.228 7.151
1.375 3.683 1.263
1.466 1.228 3.969
2.971 3.683 4.445
4.369 1.228 3.254
0.068 3.683 5.161
```

Output
VASP energy in eV per atom: -2.351
Polymorph energy (0 for the lowest one) in eV/atom: 0.000
Formation energy from the elements in meV per atom: -192
Symmetry: P2_1/m (11)

Q: Which of these has the lowest VASP energy?
A: CsLi2Pb4

Q: Number 6 is which compound?
A: CsLi2Pb4